## Y4WAu (PBE)

Data for a geometry-optimized Y4WAu structure.

a b c (Å): 8.4460 8.4460 8.4460
angles (deg): 90.00 90.00 90.00
Closest atoms and distances in Å follow each position.
Space group F-43m (No. 216)
Inequivalent atoms, fractional coordinates:
Y: 0.1244 0.1244 0.3756 (multiplicity 16)  6 Y 2.97-3.00
W: 0.2500 0.2500 0.7500 (multiplicity 4)  12 Y 3.50, 4 Au 3.66
Au: 0.0000 0.0000 0.0000 (multiplicity 4)  12 Y 3.50, 4 W 3.66

Computed properties:
**Size of the total moment**: 0.15 μB per formula unit
**Total DFT energy (no corrections)**: -6.157 eV/atom
**Crystal system**: cubic
**Energy of formation**: 0.8578 eV/atom